An optimized crystal structure of CdAu, computed with PBE.

Cell: 5.453 5.985 5.972 Å, 147.20 130.81 61.33°
Atoms (fractional coordinates):
Cd: 0.443 0.486 0.955
Cd: 0.640 0.264 0.379
Au: 0.104 0.740 0.364
Au: 0.980 0.010 0.969

Results
Space group: P-1, No. 2
Crystal system: triclinic
VASP energy (eV per cell): -9.0